No. 1
First-principles (PBE) data for a relaxed K6Na2HgF crystal, as listed in the Alexandria database.

Cell: 8.790 8.827 8.830 Å, 90.13 119.80 119.79°
Sites, in units of the cell vectors:
K1 0.000 0.000 0.000
K2 0.001 0.000 0.549
K3 0.451 0.451 0.999
K4 0.548 0.000 0.549
K5 0.997 0.450 0.998
K6 0.999 0.451 0.548
Na1 0.499 0.476 0.522
Na2 0.499 0.974 0.025
Hg1 0.000 0.726 0.274
F1 0.999 0.225 0.774

Formation energy from raw total energies   -520 meV/atom
Electronic total energy   -1.66 eV per atom

---

No. 2
First-principles (PBE) data for a relaxed In2ReHg crystal, as listed in the Alexandria database.

Cell: 5.335 5.335 5.335 Å, 133.40 133.40 68.03°
Sites, in units of the cell vectors:
In1 0.250 0.750 0.500
In2 0.750 0.250 0.500
Re1 0.000 0.000 0.000
Hg1 0.500 0.500 0.000

Energy of formation from the pure elements   230 kJ/mol of formula units
Electronic total energy   -3.96 eV per atom

---

No. 3
First-principles (PBE) data for a relaxed UVSn crystal, as listed in the Alexandria database.

Cell: 6.461 6.461 6.461 Å, 151.81 151.81 40.29°
Sites, in units of the cell vectors:
U1 0.000 0.000 0.000
V1 0.349 0.349 0.000
Sn1 0.703 0.703 0.000

Energy of formation from the pure elements   53 kJ/mol of formula units
Electronic total energy   -7.95 eV per atom
Polymorph energy (0 for the lowest one)   0.00 eV per formula unit

---

No. 4
First-principles (PBE) data for a relaxed LaCu2RhSe crystal, as listed in the Alexandria database.

Cell: 4.696 4.696 5.339 Å, 90.00 90.00 90.00°
Sites, in units of the cell vectors:
La1 0.000 0.000 0.000
Cu1 0.000 0.500 0.500
Cu2 0.500 0.000 0.500
Rh1 0.000 0.000 0.500
Se1 0.500 0.500 0.000

Formation energy from raw total energies   -35 meV/atom
Electronic total energy   -4.83 eV per atom

---

> What is the formula in the fourth record?

LaCu2RhSe

---

> What is the formula in the third record?

UVSn

---

> Which value of electronic total energy does entry 2 give?

-3.96 eV per atom

---

> Which of these has the lowest electronic total energy?

UVSn